# PBE KSmHgS3, relaxed
# total DFT energy (no corrections) = -4.30 eV per atom
# total magnetization = 0.00 μB per formula unit
data_KSmHgS3
_chemical_formula_sum 'K2 Sm2 Hg2 S6'
_symmetry_space_group_name_H-M 'P 1 21/m 1'
_symmetry_Int_Tables_number 11
_cell_length_a 8.100
_cell_length_b 4.176
_cell_length_c 10.460
_cell_angle_alpha 90.00
_cell_angle_beta 106.79
_cell_angle_gamma 90.00
loop_
_symmetry_equiv_pos_as_xyz
'x,y,z'
'-x,-y,-z'
'-x,y+1/2,-z'
'x,-y+1/2,z'
loop_
_atom_site_label
_atom_site_type_symbol
_atom_site_fract_x
_atom_site_fract_y
_atom_site_fract_z
K1 K 0.239 0.250 0.222
Sm1 Sm 0.188 0.750 0.631
Hg1 Hg 0.403 0.250 0.884
S1 S 0.041 0.750 0.362
S2 S 0.250 0.750 0.941
S3 S 0.434 0.250 0.653



# PBE KSnHg3S4, relaxed
# energy relative to the lowest polymorph listed for this composition = 0 meV per atom
data_KSnHg3S4
_chemical_formula_sum 'K2 Sn2 Hg6 S8'
_symmetry_space_group_name_H-M 'P 1 21/m 1'
_symmetry_Int_Tables_number 11
_cell_length_a 7.230
_cell_length_b 7.794
_cell_length_c 10.152
_cell_angle_alpha 90.00
_cell_angle_beta 106.52
_cell_angle_gamma 90.00
loop_
_symmetry_equiv_pos_as_xyz
'x,y,z'
'-x,-y,-z'
'-x,y+1/2,-z'
'x,-y+1/2,z'
loop_
_atom_site_label
_atom_site_type_symbol
_atom_site_fract_x
_atom_site_fract_y
_atom_site_fract_z
K1 K 0.233 0.250 0.128
Sn1 Sn 0.025 0.750 0.309
Hg1 Hg 0.262 0.528 0.520
Hg2 Hg 0.496 0.250 0.809
S1 S 0.156 0.750 0.109
S2 S 0.232 0.017 0.774
S3 S 0.418 0.250 0.450



# PBE K2Sn2Hg3S8, relaxed
# energy relative to the lowest polymorph listed for this composition = 30 meV per atom
data_K2Sn2Hg3S8
_chemical_formula_sum 'K2 Sn2 Hg3 S8'
_symmetry_space_group_name_H-M 'P -1'
_symmetry_Int_Tables_number 2
_cell_length_a 6.777
_cell_length_b 8.040
_cell_length_c 9.476
_cell_angle_alpha 109.31
_cell_angle_beta 91.55
_cell_angle_gamma 111.89
loop_
_symmetry_equiv_pos_as_xyz
'x,y,z'
'-x,-y,-z'
loop_
_atom_site_label
_atom_site_type_symbol
_atom_site_fract_x
_atom_site_fract_y
_atom_site_fract_z
K1 K 0.103 0.474 0.246
Sn1 Sn 0.254 0.161 0.764
Hg1 Hg 0.351 0.093 0.381
Hg2 Hg 0.500 0.000 0.000
S1 S 0.086 0.832 0.162
S2 S 0.240 0.843 0.633
S3 S 0.383 0.362 0.616
S4 S 0.492 0.298 0.010